Compound: NaSrIn4Pd2
Source: OQMD
Functional: PBE
Structure: optimized geometry

The structure in POSCAR format:
```
NaSrIn4Pd2
1.0
7.969 0.000 0.000
0.000 2.260 5.288
0.000 -2.260 5.288
In Pd Sr Na
4 2 1 1
direct
0.810 0.648 0.648
0.190 0.648 0.648
0.704 0.355 0.355
0.296 0.355 0.355
0.500 0.780 0.780
0.000 0.215 0.215
0.500 0.064 0.064
0.000 0.935 0.935
```

## Properties
The value obtained for the calculated density is 6.8 g/cm3.



Compound: Tb3PrSi4
Source: OQMD
Functional: PBE
Structure: optimized geometry

The structure in POSCAR format:
```
Tb3PrSi4
1.0
5.793 0.000 0.000
0.000 3.880 0.000
-0.034 0.000 8.057
Si Tb Pr
4 3 1
direct
0.877 0.000 0.957
0.627 0.000 0.469
0.372 0.500 0.540
0.126 0.500 0.034
0.384 0.000 0.819
0.114 0.000 0.322
0.886 0.500 0.680
0.614 0.500 0.179
```

## Properties
As for the magnetization: 0.0 Bohr magnetons per cell. The value obtained for the calculated density is 6.7 g/cm3.



Compound: CsBeCoS3
Source: OQMD
Functional: PBE
Structure: optimized geometry

The structure in POSCAR format:
```
CsBeCoS3
1.0
1.777 -7.621 0.000
1.777 7.621 0.000
0.000 0.000 9.095
Cs Be S Co
2 2 6 2
direct
0.747 0.253 0.750
0.253 0.747 0.250
0.527 0.473 0.250
0.473 0.527 0.750
0.051 0.949 0.750
0.593 0.407 0.449
0.949 0.051 0.250
0.593 0.407 0.051
0.407 0.593 0.949
0.407 0.593 0.551
0.000 0.000 0.500
0.000 0.000 0.000
```

## Properties
As for the magnetization: 0.0 Bohr magnetons per cell. The value obtained for the calculated density is 4.0 g/cm3.



Compound: KLuSeO
Source: OQMD
Functional: PBE
Structure: optimized geometry

The structure in POSCAR format:
```
KLuSeO
1.0
-1.797 3.599 0.431
-0.517 -0.731 3.945
8.876 4.199 1.941
K Lu O Se
2 2 2 2
direct
0.750 0.250 0.500
0.250 0.750 0.500
0.750 0.750 0.906
0.250 0.250 0.094
0.250 0.750 0.000
0.750 0.250 0.000
0.750 0.750 0.267
0.250 0.250 0.733
```

## Properties
As for the magnetization: 0.0 Bohr magnetons per cell. The offset from the most stable computed form comes out at 269 meV per atom. The value obtained for the calculated density is 6.3 g/cm3.



Compound: GdSiHO4
Source: OQMD
Functional: PBE
Structure: optimized geometry

The structure in POSCAR format:
```
GdSiHO4
1.0
4.718 0.000 0.000
0.000 8.973 0.000
0.000 0.000 6.979
O Si H Gd
16 4 4 4
direct
0.614 0.064 0.250
0.280 0.363 0.250
0.379 0.614 0.057
0.220 0.863 0.250
0.780 0.137 0.750
0.621 0.386 0.943
0.121 0.114 0.443
0.621 0.386 0.557
0.879 0.886 0.557
0.386 0.936 0.750
0.114 0.436 0.750
0.879 0.886 0.943
0.121 0.114 0.057
0.886 0.564 0.250
0.720 0.637 0.750
0.379 0.614 0.443
0.225 0.542 0.250
0.775 0.458 0.750
0.725 0.958 0.750
0.275 0.042 0.250
0.500 0.500 0.500
0.000 0.000 0.000
0.500 0.500 0.000
0.000 0.000 0.500
0.297 0.205 0.750
0.797 0.295 0.250
0.203 0.705 0.750
0.703 0.795 0.250
```

## Properties
As for the magnetization: 0.0 Bohr magnetons per cell. The offset from the most stable computed form comes out at 89 meV per atom. The value obtained for the calculated density is 5.6 g/cm3.



Compound: ZrTlCuHg
Source: OQMD
Functional: PBE
Structure: optimized geometry

The structure in POSCAR format:
```
ZrTlCuHg
1.0
0.000 3.447 3.447
3.447 0.000 3.447
3.447 3.447 0.000
Zr Cu Tl Hg
1 1 1 1
direct
0.500 0.500 0.500
0.750 0.750 0.750
0.000 0.000 0.000
0.250 0.250 0.250
```

## Properties
As for the magnetization: 0.0 Bohr magnetons per cell. The offset from the most stable computed form comes out at 43 meV per atom. The value obtained for the calculated density is 11.3 g/cm3.



Raw total energy per entry: -3.52, -5.84, -4.74, -5.53, -7.38, -3.54 eV per atom